No. 1
GGA-PBE TcSnC3, relaxed; ΔE_f = 1757.0 meV per atom; crystal system = cubic; offset from the most stable computed form = 0 meV/atom; SG = No. 221
1.0
-0.767 -4.000 0.281
1.272 -0.514 -3.845
3.803 -0.635 1.343
C Sn Tc
3 1 1
Direct
0.000 0.500 0.000
0.000 0.000 0.500
0.500 0.000 0.000
0.500 0.500 0.500
0.000 0.000 0.000

No. 2
GGA-PBE Tc2SnC, relaxed; ΔE_f = 388.7 meV per atom; crystal system = tetragonal; offset from the most stable computed form = 268 meV/atom; SG = No. 122
1.0
-0.595 3.352 5.804
0.201 -5.815 3.379
2.376 -1.050 4.751
C Sn Tc
2 2 4
Direct
0.500 0.500 0.000
0.250 0.750 0.500
0.000 0.000 0.000
0.750 0.250 0.500
0.522 0.125 0.250
0.228 0.625 0.250
0.375 0.478 0.750
0.875 0.772 0.750

No. 3
GGA-PBE Tc2SnC, relaxed; ΔE_f = 1320.2 meV per atom; crystal system = cubic; offset from the most stable computed form = 1199 meV/atom; SG = No. 225
1.0
0.000 3.051 3.051
3.051 0.000 3.051
3.051 3.051 0.000
C Sn Tc
1 1 2
Direct
0.000 0.000 0.000
0.500 0.500 0.500
0.250 0.250 0.250
0.750 0.750 0.750

No. 4
GGA-PBE Tc3SnC, relaxed; ΔE_f = 122.7 meV per atom; crystal system = cubic; offset from the most stable computed form = 0 meV/atom; SG = No. 221
1.0
4.149 0.000 0.000
0.000 4.149 0.000
0.000 0.000 4.149
C Sn Tc
1 1 3
Direct
0.000 0.000 0.000
0.500 0.500 0.500
0.000 0.500 0.000
0.000 0.000 0.500
0.500 0.000 0.000

No. 5
GGA-PBE TcSn2C, relaxed; ΔE_f = 1089.7 meV per atom; crystal system = tetragonal; SG = No. 122
1.0
6.694 0.000 0.000
0.000 6.694 0.000
3.347 3.347 3.103
C Sn Tc
2 4 2
Direct
0.500 0.500 0.000
0.250 0.750 0.500
0.562 0.125 0.250
0.188 0.625 0.250
0.375 0.438 0.750
0.875 0.812 0.750
0.000 0.000 0.000
0.750 0.250 0.500

No. 6
GGA-PBE Tc3SnC, relaxed; ΔE_f = 3434.3 meV per atom; crystal system = cubic; offset from the most stable computed form = 3312 meV/atom; SG = No. 221
1.0
5.017 0.000 0.000
0.000 5.017 0.000
0.000 0.000 5.017
C Sn Tc
1 1 3
Direct
0.500 0.500 0.500
0.000 0.000 0.000
0.000 0.500 0.000
0.000 0.000 0.500
0.500 0.000 0.000

No. 7
GGA-PBE TcSnC3, relaxed; ΔE_f = 3320.8 meV per atom; crystal system = cubic; offset from the most stable computed form = 1564 meV/atom; SG = No. 221
1.0
4.161 0.000 0.000
0.000 4.161 0.000
0.000 0.000 4.161
C Sn Tc
3 1 1
Direct
0.000 0.500 0.000
0.000 0.000 0.500
0.500 0.000 0.000
0.000 0.000 0.000
0.500 0.500 0.500

No. 8
GGA-PBE Ti2TcSnC, relaxed; ΔE_f = -378.1 meV per atom; crystal system = tetragonal; SG = No. 123
1.0
-2.259 -2.174 2.840
2.190 -3.496 -0.934
2.772 0.952 2.933
C Ti Sn Tc
1 2 1 1
Direct
0.000 0.000 0.000
0.000 0.500 0.000
0.500 0.000 0.000
0.500 0.500 0.500
0.000 0.000 0.500

No. 9
GGA-PBE Tl2TcSnC, relaxed; ΔE_f = 862.5 meV per atom; crystal system = tetragonal; SG = No. 123
1.0
-1.604 -1.378 -5.120
-3.578 -0.695 1.308
-1.384 5.272 -0.985
C Tl Sn Tc
1 2 1 1
Direct
0.000 0.500 0.000
0.000 0.000 0.500
0.500 0.000 0.000
0.500 0.500 0.500
0.000 0.000 0.000

No. 10
GGA-PBE Tm2Tc2Sn2C, relaxed; ΔE_f = -416.1 meV per atom; crystal system = monoclinic; SG = No. 12
1.0
3.522 0.002 0.001
1.759 5.861 0.901
-0.005 2.493 7.085
Tm Tc Sn C
2 2 2 1
Direct
0.460 0.081 0.747
0.540 0.919 0.253
0.824 0.352 0.953
0.176 0.648 0.047
0.834 0.333 0.339
0.166 0.667 0.661
0.000 0.000 0.000

No. 11
GGA-PBE Y2TcSnC, relaxed; ΔE_f = -446.0 meV per atom; crystal system = tetragonal; SG = No. 123
1.0
-3.651 -3.189 -1.075
1.809 -3.197 3.341
-2.320 1.688 2.871
Y C Sn Tc
2 1 1 1
Direct
0.000 0.500 0.000
0.500 0.000 0.000
0.000 0.000 0.000
0.500 0.500 0.500
0.000 0.000 0.500

No. 12
GGA-PBE YTcSn2C, relaxed; ΔE_f = 2510.9 meV per atom; crystal system = tetragonal; SG = No. 123
1.0
-2.548 2.299 -4.671
-3.522 -3.186 0.354
-2.954 3.644 3.405
Y C Sn Tc
1 1 2 1
Direct
0.000 0.000 0.000
0.500 0.500 0.500
0.000 0.000 0.500
0.500 0.000 0.000
0.000 0.500 0.000

No. 13
GGA-PBE Zr2TcSnC, relaxed; ΔE_f = -375.1 meV per atom; crystal system = tetragonal; SG = No. 123
1.0
-1.588 0.487 4.324
0.443 -4.561 0.676
3.799 0.566 1.332
C Sn Zr Tc
1 1 2 1
Direct
0.000 0.000 0.000
0.500 0.500 0.500
0.000 0.500 0.000
0.500 0.000 0.000
0.000 0.000 0.500

No. 14
GGA-PBE SnTeC3, relaxed; crystal system = cubic; offset from the most stable computed form = 142 meV/atom; SG = No. 221; formation energy without anion corrections = 2.813 eV/atom
1.0
-3.579 -2.378 0.715
0.238 -1.577 -4.054
2.472 -3.291 1.426
C Te Sn
3 1 1
Direct
0.000 0.500 0.000
0.000 0.000 0.500
0.500 0.000 0.000
0.500 0.500 0.500
0.000 0.000 0.000

No. 15
GGA-PBE SnTeC3, relaxed; crystal system = cubic; offset from the most stable computed form = 0 meV/atom; SG = No. 221; formation energy without anion corrections = 2.670 eV/atom
1.0
-1.071 -4.100 0.426
2.891 -0.433 3.097
-2.938 1.068 2.892
C Te Sn
3 1 1
Direct
0.000 0.500 0.000
0.000 0.000 0.500
0.500 0.000 0.000
0.000 0.000 0.000
0.500 0.500 0.500

No. 16
GGA-PBE Sn2TeC, relaxed; crystal system = cubic; offset from the most stable computed form = 736 meV/atom; SG = No. 225; formation energy without anion corrections = 1.374 eV/atom
1.0
0.000 3.579 3.579
3.579 0.000 3.579
3.579 3.579 0.000
C Te Sn
1 1 2
Direct
0.000 0.000 0.000
0.500 0.500 0.500
0.250 0.250 0.250
0.750 0.750 0.750

No. 17
GGA-PBE Sn3TeC, relaxed; crystal system = cubic; offset from the most stable computed form = 0 meV/atom; SG = No. 221; formation energy without anion corrections = 0.731 eV/atom
1.0
4.964 0.000 0.000
0.000 4.964 0.000
0.000 0.000 4.964
C Te Sn
1 1 3
Direct
0.000 0.000 0.000
0.500 0.500 0.500
0.000 0.500 0.000
0.000 0.000 0.500
0.500 0.000 0.000

No. 18
GGA-PBE Sn2TeC, relaxed; crystal system = tetragonal; offset from the most stable computed form = 0 meV/atom; SG = No. 122; formation energy without anion corrections = 0.638 eV/atom
1.0
6.712 0.000 0.000
0.000 6.712 0.000
3.356 3.356 4.402
C Te Sn
2 2 4
Direct
0.500 0.500 0.000
0.250 0.750 0.500
0.000 0.000 0.000
0.750 0.250 0.500
0.531 0.125 0.250
0.219 0.625 0.250
0.375 0.469 0.750
0.875 0.781 0.750

No. 19
GGA-PBE Sn3TeC, relaxed; crystal system = cubic; offset from the most stable computed form = 1215 meV/atom; SG = No. 221; formation energy without anion corrections = 1.945 eV/atom
1.0
-2.676 4.400 -2.922
-1.253 -3.711 -4.440
-5.131 -1.388 2.608
C Te Sn
1 1 3
Direct
0.500 0.500 0.500
0.000 0.000 0.000
0.000 0.500 0.000
0.000 0.000 0.500
0.500 0.000 0.000

No. 20
GGA-PBE Th4SnTe2C, relaxed; crystal system = monoclinic; SG = No. 10; formation energy without anion corrections = -0.726 eV/atom
1.0
4.176 0.000 0.000
0.000 7.559 0.150
0.000 -2.630 7.360
Th Sn Te C
4 1 2 1
Direct
0.500 0.290 0.205
0.500 0.710 0.795
0.000 0.298 0.801
0.000 0.702 0.199
0.000 0.000 0.000
0.500 0.000 0.500
0.000 0.500 0.500
0.500 0.500 0.000

No. 21
GGA-PBE Sn2TeWC, relaxed; crystal system = tetragonal; SG = No. 123; formation energy without anion corrections = 1.523 eV/atom
1.0
-0.376 0.714 4.560
1.142 -4.386 0.781
4.470 1.197 0.181
C Te Sn W
1 1 2 1
Direct
0.000 0.000 0.000
0.000 0.500 0.000
0.000 0.000 0.500
0.500 0.000 0.000
0.500 0.500 0.500

No. 22
GGA-PBE Th8Sn2C3, relaxed; ΔE_f = -225.4 meV per atom; crystal system = monoclinic; SG = No. 12
1.0
6.639 0.000 0.363
0.000 7.358 0.000
-2.302 -3.679 7.439
Th Sn C
8 2 3
Direct
0.934 0.598 0.196
0.066 0.402 0.804
0.887 0.097 0.194
0.113 0.903 0.806
0.615 0.659 0.820
0.615 0.160 0.820
0.385 0.840 0.180
0.385 0.341 0.180
0.319 0.251 0.503
0.681 0.749 0.497
0.500 0.000 0.000
0.000 0.235 0.000
0.000 0.765 0.000

No. 23
GGA-PBE Th7Sn2C2, relaxed; ΔE_f = -144.9 meV per atom; crystal system = monoclinic; SG = No. 12
1.0
6.972 -0.197 -1.210
-0.201 6.567 0.194
-1.642 0.193 6.883
Th Sn C
7 2 2
Direct
0.931 0.234 0.494
0.494 0.766 0.931
0.069 0.766 0.506
0.506 0.234 0.069
0.000 0.000 0.000
0.569 0.794 0.431
0.431 0.206 0.569
0.820 0.500 0.820
0.180 0.500 0.180
0.776 0.960 0.224
0.224 0.040 0.776

No. 24
GGA-PBE Th8SnC6, relaxed; ΔE_f = -84.7 meV per atom; crystal system = trigonal; SG = No. 148
1.0
7.120 0.059 0.061
-0.163 7.118 0.061
-0.163 -0.168 7.116
Th Sn C
8 1 6
Direct
0.726 0.726 0.726
0.274 0.274 0.274
0.607 0.858 0.287
0.858 0.287 0.607
0.287 0.607 0.858
0.393 0.142 0.713
0.142 0.713 0.393
0.713 0.393 0.142
0.000 0.000 0.000
0.608 0.418 0.816
0.418 0.816 0.608
0.816 0.608 0.418
0.392 0.582 0.184
0.582 0.184 0.392
0.184 0.392 0.582

No. 25
GGA-PBE Th4SnC2, relaxed; ΔE_f = -338.2 meV per atom; crystal system = orthorhombic; SG = No. 63
1.0
-3.809 0.079 1.002
0.268 -1.245 -6.625
0.382 -13.158 2.489
Th Sn C
8 2 4
Direct
0.764 0.528 0.104
0.764 0.528 0.396
0.236 0.472 0.896
0.236 0.472 0.604
0.912 0.824 0.750
0.088 0.176 0.250
0.500 0.000 0.000
0.500 0.000 0.500
0.603 0.205 0.750
0.397 0.795 0.250
0.137 0.274 0.439
0.863 0.726 0.939
0.137 0.274 0.061
0.863 0.726 0.561

No. 26
GGA-PBE Th2SnC, relaxed; ΔE_f = -425.9 meV per atom; crystal system = monoclinic; SG = No. 12
1.0
-1.283 2.085 -4.096
1.669 -3.751 -2.432
-8.358 -4.071 0.551
Th Sn C
4 2 2
Direct
0.750 0.750 0.838
0.750 0.250 0.500
0.250 0.250 0.162
0.250 0.750 0.500
0.250 0.250 0.799
0.750 0.750 0.201
0.250 0.250 0.408
0.750 0.750 0.592